Material: Ba2MnHgO4
Method: DFT, GGA+U
State: relaxed

a b c (Å): 7.3884 7.3884 6.9321
angles (deg): 90.00 90.00 90.00
Closest atoms and distances in Å follow each position.
Sites, in units of the cell vectors:
Ba: 0.0000 0.0000 0.0000  4 O 2.58
Ba: 0.0000 0.5000 0.2500  4 O 2.63
Ba: 0.5000 0.0000 0.7500  4 O 2.63
Ba: 0.5000 0.5000 0.5000  4 O 2.58
Mn: 0.0000 0.5000 0.7500  4 O 1.83
Mn: 0.5000 0.0000 0.2500  4 O 1.83
Hg: 0.0000 0.0000 0.5000  4 O 3.40, 2 Ba 3.47
Hg: 0.5000 0.5000 0.0000  4 O 3.40, 2 Ba 3.47
O: 0.0773 0.3333 0.9259  1 Mn 1.83
O: 0.1667 0.5773 0.5741  1 Mn 1.83
O: 0.3333 0.9227 0.0741  1 Mn 1.83
O: 0.4227 0.1667 0.4259  1 Mn 1.83
O: 0.5773 0.8333 0.4259  1 Mn 1.83
O: 0.6667 0.0773 0.0741  1 Mn 1.83
O: 0.8333 0.4227 0.5741  1 Mn 1.83
O: 0.9227 0.6667 0.9259  1 Mn 1.83

Computed properties:
- Space group: No. 82
- Total moment: 3.00 μB/f.u.
- E: -5.56 eV/atom